No. 1
This record from Alexandria via LeMat-Bulk describes a relaxed Ac4RhPb8 crystal. The functional is PBE.

The space group is Pmm2 (25). As for the total moment: 0.00 μB per formula unit. The value obtained for the electronic total energy is -0.3338 Ry/atom.

```
13
Lattice="4.783 0.000 0.000 0.000 4.865 0.000 0.000 0.000 18.229" Properties=species:S:1:pos:R:3 pbc="T T T"
Ac 0.000 0.000 0.000
Ac 0.000 2.433 8.966
Ac 2.391 0.000 3.613
Ac 2.391 2.433 12.856
Rh 2.391 0.000 7.507
Pb 0.000 0.000 6.143
Pb 0.000 0.000 12.271
Pb 0.000 2.433 2.865
Pb 0.000 2.433 15.613
Pb 2.391 0.000 10.195
Pb 2.391 0.000 15.483
Pb 2.391 2.433 0.659
Pb 2.391 2.433 6.131
```


No. 2
This record from Alexandria via LeMat-Bulk describes a relaxed Ac2RhPb crystal. The functional is PBE.

The space group is R-3m (166). As for the total moment: 0.00 μB per formula unit. The value obtained for the electronic total energy is -0.3931 Ry/atom.

```
4
Lattice="2.128 1.229 8.715 -2.128 1.229 8.715 0.000 -2.457 8.715" Properties=species:S:1:pos:R:3 pbc="T T T"
Ac 0.000 0.000 6.079
Ac 0.000 0.000 20.066
Rh 0.000 0.000 13.073
Pb 0.000 0.000 0.000
```


No. 3
This record from Alexandria via LeMat-Bulk describes a relaxed Ac3Rh4Pb4 crystal. The functional is PBE.

The space group is Immm (71). As for the total moment: 0.00 μB per formula unit. The value obtained for the electronic total energy is -0.4147 Ry/atom.

```
11
Lattice="-2.177 4.127 7.741 2.177 -4.127 7.741 2.177 4.127 -7.741" Properties=species:S:1:pos:R:3 pbc="T T T"
Ac 0.000 0.000 0.000
Ac 2.177 0.000 5.912
Ac 0.000 4.127 1.829
Rh 0.000 0.000 3.419
Rh 2.177 2.493 0.000
Rh 0.000 1.634 7.741
Rh 0.000 0.000 12.063
Pb 2.177 1.622 -2.651
Pb 2.177 1.622 2.651
Pb 0.000 2.504 5.090
Pb 0.000 2.504 10.393
```


No. 4
This record from Alexandria via LeMat-Bulk describes a relaxed Ac4Rh2Pb crystal. The functional is PBE.

For the offset from the most stable computed form, the calculation gives 107.9 meV/atom. The space group is Fddd (70). As for the total moment: 0.00 μB per formula unit. The value obtained for the electronic total energy is -0.4011 Ry/atom.

```
14
Lattice="0.000 7.088 7.111 5.052 0.000 7.111 5.052 7.088 0.000" Properties=species:S:1:pos:R:3 pbc="T T T"
Ac 2.841 3.082 3.084
Ac 7.264 6.626 6.639
Ac 4.737 7.550 3.084
Ac 4.737 3.082 7.583
Ac 5.367 11.094 6.639
Ac 5.367 6.626 11.138
Ac 2.841 7.550 7.583
Ac 7.264 11.094 11.138
Rh 0.000 0.000 0.000
Rh 2.526 3.544 0.000
Rh 2.526 0.000 3.556
Rh 0.000 3.544 3.556
Pb 3.789 5.316 5.333
Pb 6.316 8.860 8.889
```


No. 5
This record from Alexandria via LeMat-Bulk describes a relaxed Ac2Rh4Pb3 crystal. The functional is PBE.

The space group is Cmce (64). As for the total moment: 0.00 μB per formula unit. The value obtained for the electronic total energy is -0.4320 Ry/atom.

```
18
Lattice="3.180 -8.789 0.000 3.180 8.789 0.000 0.000 0.000 7.411" Properties=species:S:1:pos:R:3 pbc="T T T"
Ac 3.180 6.974 6.802
Ac 3.180 1.815 3.096
Ac 3.180 -1.815 4.315
Ac 3.180 -6.974 0.610
Rh 3.180 5.910 3.927
Rh 1.590 1.315 5.558
Rh 1.590 -1.315 1.853
Rh 3.180 2.879 0.221
Rh 3.180 -2.879 7.190
Rh 4.770 1.315 5.558
Rh 4.770 -1.315 1.853
Rh 3.180 -5.910 3.484
Pb 0.000 0.000 3.706
Pb 1.590 4.107 5.558
Pb 1.590 -4.107 1.853
Pb 3.180 0.000 0.000
Pb 4.770 4.107 5.558
Pb 4.770 -4.107 1.853
```


No. 6
This record from Alexandria via LeMat-Bulk describes a relaxed Ac12Rh2Pb5 crystal. The functional is PBE.

The space group is C2/m (12). As for the total moment: 0.94 μB per formula unit. The value obtained for the electronic total energy is -0.3466 Ry/atom.

```
19
Lattice="9.526 -4.211 0.000 9.526 4.211 0.000 -2.981 0.000 10.174" Properties=species:S:1:pos:R:3 pbc="T T T"
Ac -0.595 0.000 2.225
Ac 3.737 2.166 9.315
Ac 5.458 2.099 4.379
Ac 10.612 2.099 5.796
Ac 12.334 2.166 0.860
Ac 8.909 0.000 1.810
Ac 7.161 0.000 8.365
Ac 3.737 -2.166 9.315
Ac 5.458 -2.099 4.379
Ac 10.612 -2.099 5.796
Ac 12.334 -2.166 0.860
Ac 16.666 0.000 7.949
Rh 9.526 2.289 0.000
Rh 9.526 -2.289 0.000
Pb 1.098 0.000 8.489
Pb 2.750 0.000 3.685
Pb 8.035 0.000 5.087
Pb 13.320 0.000 6.490
Pb 14.973 0.000 1.685
```


No. 7
This record from Alexandria via LeMat-Bulk describes a relaxed AcRhPb crystal. The functional is PBE.

For the offset from the most stable computed form, the calculation gives 292.3 meV/atom. The space group is I4mm (107). As for the total moment: 0.00 μB per formula unit. The value obtained for the electronic total energy is -0.3955 Ry/atom.

```
3
Lattice="-1.795 1.795 6.118 1.795 -1.795 6.118 1.795 1.795 -6.118" Properties=species:S:1:pos:R:3 pbc="T T T"
Ac 0.000 0.000 0.000
Rh 0.000 0.000 4.222
Pb 0.000 0.000 8.809
```


No. 8
This record from Alexandria via LeMat-Bulk describes a relaxed Ac3Rh2Pb4 crystal. The functional is PBE.

For the offset from the most stable computed form, the calculation gives 0.0 meV/atom. The space group is C2/m (12). As for the total moment: 0.00 μB per formula unit. The value obtained for the electronic total energy is -0.3788 Ry/atom.

```
9
Lattice="6.080 -2.427 0.000 6.080 2.427 0.000 -2.006 0.000 9.113" Properties=species:S:1:pos:R:3 pbc="T T T"
Ac 0.000 0.000 0.000
Ac 3.882 0.000 2.870
Ac 6.271 0.000 6.243
Rh 2.361 0.000 5.482
Rh 7.793 0.000 3.631
Pb 0.347 0.000 3.509
Pb 1.754 0.000 8.309
Pb 8.399 0.000 0.804
Pb 9.807 0.000 5.604
```